--- i ---
Here is Tl2PdSe after structural relaxation from Alexandria. Energies are from PBE.

The total magnetization is 0.0 Bohr magnetons per cell. As for the space group: No. 122. Its crystal system is tetragonal. For the volume, the calculation gives 235 Å³/cell.

a b c (Å): 7.242 7.242 6.803
angles (deg): 57.84 57.84 90.00
Sites, in units of the cell vectors:
Se (0.500, 0.500, 0.000)
Se (0.250, 0.750, 0.500)
Tl (0.375, 0.359, 0.750)
Tl (0.875, 0.891, 0.750)
Tl (0.641, 0.125, 0.250)
Tl (0.109, 0.625, 0.250)
Pd (0.000, 0.000, 0.000)
Pd (0.750, 0.250, 0.500)

***

--- ii ---
Here is Tl2PdSe after structural relaxation from Alexandria. Energies are from PBE.

The total magnetization is 0.0 Bohr magnetons per cell. As for the space group: No. 225. Its crystal system is cubic. For the volume, the calculation gives 98 Å³/cell.

a b c (Å): 5.167 5.167 5.167
angles (deg): 60.00 60.00 60.00
Sites, in units of the cell vectors:
Tl (0.750, 0.750, 0.750)
Tl (0.250, 0.250, 0.250)
Se (0.000, 0.000, 0.000)
Pd (0.500, 0.500, 0.500)

***

Least stable structure: ii

***

--- i ---
Here is TmPdSe2 after structural relaxation from Alexandria. Energies are from PBE.

The total magnetization is 0.0 Bohr magnetons per cell. As for the space group: No. 166. Its crystal system is trigonal. For the volume, the calculation gives 102 Å³/cell.

a b c (Å): 3.785 3.785 8.511
angles (deg): 77.15 77.15 60.00
Sites, in units of the cell vectors:
Tm (0.000, 0.000, 0.000)
Se (0.888, 0.888, 0.335)
Se (0.112, 0.112, 0.665)
Pd (0.500, 0.500, 0.500)

***

--- ii ---
Here is TmPdSe2 after structural relaxation from Alexandria. Energies are from PBE.

The total magnetization is 0.0 Bohr magnetons per cell. As for the space group: No. 160. Its crystal system is trigonal. For the volume, the calculation gives 87 Å³/cell.

a b c (Å): 3.976 3.976 6.788
angles (deg): 72.97 72.97 60.00
Sites, in units of the cell vectors:
Pd (0.668, 0.668, 0.995)
Tm (0.499, 0.499, 0.502)
Se (0.254, 0.254, 0.237)
Se (0.078, 0.078, 0.766)

***

Least stable structure: i

***

--- i ---
Here is VPdSe after structural relaxation from Alexandria. Energies are from PBE.

The total magnetization is 0.0 Bohr magnetons per cell. As for the space group: No. 107. Its crystal system is tetragonal. For the volume, the calculation gives 57 Å³/cell.

a b c (Å): 3.029 3.029 6.619
angles (deg): 103.23 103.23 90.00
Sites, in units of the cell vectors:
Pd (0.962, 0.962, 0.925)
V (0.144, 0.144, 0.288)
Se (0.744, 0.744, 0.487)

***

--- ii ---
Here is VPdSe after structural relaxation from Alexandria. Energies are from PBE.

The total magnetization is 8.1 Bohr magnetons per cell. As for the space group: No. 14. Its crystal system is monoclinic. For the volume, the calculation gives 214 Å³/cell.

a b c (Å): 4.730 7.384 6.516
angles (deg): 109.71 90.00 90.00
Each line ends with the local moment (μB).
Sites, in units of the cell vectors:
V (0.433, 0.787, 0.278)  1.86
V (0.933, 0.213, 0.222)  1.86
V (0.067, 0.787, 0.778)  1.86
V (0.567, 0.213, 0.722)  1.86
Pd (0.574, 0.593, 0.861)  0.02
Pd (0.426, 0.407, 0.139)  0.02
Pd (0.074, 0.407, 0.639)  0.02
Pd (0.926, 0.593, 0.361)  0.02
Se (0.941, 0.842, 0.163)  -0.10
Se (0.441, 0.158, 0.337)  -0.10
Se (0.559, 0.842, 0.663)  -0.10
Se (0.059, 0.158, 0.837)  -0.10

***

Least stable structure: i

***

--- i ---
Here is VPd2Se4 after structural relaxation from Alexandria. Energies are from PBE.

The total magnetization is 0.7 Bohr magnetons per cell. As for the space group: No. 139. Its crystal system is tetragonal. For the volume, the calculation gives 152 Å³/cell.

a b c (Å): 4.991 4.991 7.038
angles (deg): 69.24 69.24 90.00
Each line ends with the local moment (μB).
Sites, in units of the cell vectors:
Se (0.000, 0.500, 0.000)  -0.03
Se (0.193, 0.193, 0.613)  -0.09
Se (0.807, 0.807, 0.387)  -0.09
Se (0.500, 0.000, 0.000)  -0.03
Pd (0.607, 0.607, 0.785)  -0.03
Pd (0.393, 0.393, 0.215)  -0.03
V (0.000, 0.000, 0.000)  0.99

***

--- ii ---
Here is VPd2Se4 after structural relaxation from Alexandria. Energies are from PBE.

The total magnetization is 0.0 Bohr magnetons per cell. As for the space group: No. 12. Its crystal system is monoclinic. For the volume, the calculation gives 134 Å³/cell.

a b c (Å): 3.633 6.567 6.888
angles (deg): 120.96 105.29 90.00
Sites, in units of the cell vectors:
Se (0.103, 0.776, 0.207)
Se (0.371, 0.711, 0.743)
Se (0.897, 0.224, 0.793)
Se (0.629, 0.289, 0.257)
Pd (0.736, 0.770, 0.472)
Pd (0.264, 0.230, 0.528)
V (0.000, 0.000, 0.000)

***

Least stable structure: i

***

--- i ---
Here is V2PdSe2 after structural relaxation from Alexandria. Energies are from PBE.

The total magnetization is 4.1 Bohr magnetons per cell. As for the space group: No. 127. Its crystal system is tetragonal. For the volume, the calculation gives 155 Å³/cell.

a b c (Å): 7.060 7.060 3.119
angles (deg): 90.00 90.00 90.00
Each line ends with the local moment (μB).
Sites, in units of the cell vectors:
Se (0.349, 0.849, 0.000)  -0.05
Se (0.849, 0.651, 0.000)  -0.05
Se (0.651, 0.151, 0.000)  -0.05
Se (0.151, 0.349, 0.000)  -0.05
V (0.144, 0.644, 0.500)  0.99
V (0.644, 0.856, 0.500)  0.99
V (0.356, 0.144, 0.500)  0.99
V (0.856, 0.356, 0.500)  0.99
Pd (0.500, 0.500, 0.000)  -0.03
Pd (0.000, 0.000, 0.000)  -0.03

***

--- ii ---
Here is V2PdSe2 after structural relaxation from Alexandria. Energies are from PBE.

The total magnetization is 0.0 Bohr magnetons per cell. As for the space group: No. 139. Its crystal system is tetragonal. For the volume, the calculation gives 88 Å³/cell.

a b c (Å): 3.634 3.634 7.116
angles (deg): 75.21 75.21 90.00
Sites, in units of the cell vectors:
Se (0.620, 0.620, 0.760)
Se (0.380, 0.380, 0.240)
V (0.250, 0.750, 0.500)
V (0.750, 0.250, 0.500)
Pd (0.000, 0.000, 0.000)

***

Least stable structure: ii

***

--- i ---
Here is V3PdSe after structural relaxation from Alexandria. Energies are from PBE.

The total magnetization is 3.8 Bohr magnetons per cell. As for the space group: No. 221. Its crystal system is cubic. For the volume, the calculation gives 90 Å³/cell.

a b c (Å): 4.477 4.477 4.477
angles (deg): 90.00 90.00 90.00
Each line ends with the local moment (μB).
Sites, in units of the cell vectors:
V (0.000, 0.500, 0.000)  1.11
V (0.000, 0.000, 0.500)  1.11
V (0.500, 0.000, 0.000)  1.11
Pd (0.500, 0.500, 0.500)  0.11
Se (0.000, 0.000, 0.000)  -0.02

***

--- ii ---
Here is V3PdSe after structural relaxation from Alexandria. Energies are from PBE.

The total magnetization is 6.0 Bohr magnetons per cell. As for the space group: No. 221. Its crystal system is cubic. For the volume, the calculation gives 106 Å³/cell.

a b c (Å): 4.732 4.732 4.732
angles (deg): 90.00 90.00 90.00
Each line ends with the local moment (μB).
Sites, in units of the cell vectors:
Se (0.500, 0.500, 0.500)  -0.15
V (0.000, 0.500, 0.000)  1.80
V (0.500, 0.000, 0.000)  1.80
V (0.000, 0.000, 0.500)  1.80
Pd (0.000, 0.000, 0.000)  -0.07

***

Least stable structure: ii